This record from Alexandria via LeMat-Bulk describes a relaxed structure of NaCeMgO4. The functional is GGA-PBE.

The structure in extended XYZ format:
```
14
Lattice="-3.409 -0.379 -4.092 2.738 -4.723 -1.843 -1.826 -3.125 5.294" Properties=species:S:1:pos:R:3 pbc="T T T"
Na -0.367 -4.405 -2.769
Na -2.129 -3.822 2.128
Ce -0.183 -1.995 0.337
Ce -2.314 -6.231 -0.979
Mg 0.386 -5.108 0.152
Mg -2.883 -3.119 -0.793
O -4.170 -4.328 0.391
O -0.855 -6.273 1.293
O 1.673 -3.899 -1.033
O -1.642 -1.954 -1.935
O -1.248 -4.113 -0.321
O -0.913 -1.562 2.647
O -2.617 -1.752 0.601
O 0.456 -3.924 1.725
```

Summary:
The electronic total energy is -6.365 eV/atom. The calculation puts the uncorrected formation energy at -2268 meV/atom. As for the density of states at the Fermi level: 5.45 states/eV/cell. As for the total magnetic moment: 0.144 μB per atom. The space group is Cmcm.

***

This record from Alexandria via LeMat-Bulk describes a relaxed structure of NaCeMg6O8. The functional is GGA-PBE.

The structure in extended XYZ format:
```
16
Lattice="-3.976 0.412 2.062 -0.809 -4.370 -0.687 3.911 -1.970 7.933" Properties=species:S:1:pos:R:3 pbc="T T T"
Na 1.955 -0.985 3.967
Ce 0.000 0.000 0.000
Mg -2.392 -1.979 0.688
Mg -0.437 -2.964 4.654
Mg 0.682 -2.733 1.861
Mg 2.419 -3.608 5.386
Mg -0.901 -0.341 3.235
Mg 0.836 -1.217 6.760
O 0.984 -0.496 1.997
O 2.926 -1.474 5.937
O -1.415 -2.472 2.671
O 0.541 -3.457 6.638
O -0.405 -2.185 -0.343
O 1.551 -3.170 3.623
O -1.988 0.206 1.031
O -0.032 -0.779 4.998
```

Summary:
The electronic total energy is -5.996 eV/atom. The calculation puts the uncorrected formation energy at -2465 meV/atom. As for the density of states at the Fermi level: 3.94 states/eV/cell. As for the total magnetic moment: 0.049 μB per atom. The space group is P4/mmm.

***

This record from Alexandria via LeMat-Bulk describes a relaxed structure of Na4Ce3MgS8. The functional is GGA-PBE.

The structure in extended XYZ format:
```
16
Lattice="-3.675 -6.940 1.947 6.199 -1.910 4.895 -3.876 7.038 0.960" Properties=species:S:1:pos:R:3 pbc="T T T"
Na -1.838 -3.470 0.973
Na -3.776 0.049 1.454
Na 0.000 0.000 0.000
Na -1.938 3.519 0.480
Ce 1.262 -4.425 3.421
Ce -0.676 -0.906 3.901
Ce 1.162 2.564 2.928
Mg 3.100 -0.955 2.448
S -0.206 3.914 4.962
S 1.774 0.316 4.474
S -1.268 1.314 2.288
S -2.086 0.363 5.958
S 0.734 -2.175 1.845
S -0.084 -3.125 5.514
S -3.126 -2.127 3.328
S -1.146 -5.725 2.841
```

Summary:
The electronic total energy is -5.241 eV/atom. The calculation puts the uncorrected formation energy at -1635 meV/atom. As for the density of states at the Fermi level: 13.23 states/eV/cell. As for the total magnetic moment: 0.126 μB per atom. The space group is R-3m.

***

This record from Alexandria via LeMat-Bulk describes a relaxed structure of Na3CeMg2S6. The functional is GGA-PBE.

The structure in extended XYZ format:
```
12
Lattice="6.650 -0.001 0.000 -3.324 5.759 0.000 -1.109 -1.920 6.711" Properties=species:S:1:pos:R:3 pbc="T T T"
Na -2.226 3.845 3.356
Na 4.443 -0.006 3.356
Na 1.109 1.919 3.356
Ce 0.000 0.000 0.000
Mg 0.005 3.837 0.000
Mg 3.321 1.922 0.000
S 3.355 1.867 5.223
S 2.188 3.789 1.491
S -1.138 1.972 1.489
S -0.060 3.839 5.223
S 0.029 0.049 5.221
S 2.277 0.000 1.489
```

Summary:
The electronic total energy is -4.460 eV/atom. The calculation puts the uncorrected formation energy at -1306 meV/atom. As for the density of states at the Fermi level: 16.93 states/eV/cell. As for the total magnetic moment: 0.000 μB per atom. The space group is C2/m.